# 1
## PuAl3ZnAg (PBE)

Data for a relaxed structure of PuAl3ZnAg.

The space group is Cmcm (No. 63) and the conventional cell measures 6.0032, 12.9324 and 6.1765 Å, with angles of 90.00, 90.00 and 90.00 degrees. The inequivalent atoms are Pu at (0.0000, 0.1925, 0.2500), Al at (0.0000, 0.3717, 0.7500), Al at (0.2157, 0.0000, 0.0000), Zn at (0.0000, 0.4098, 0.2500) and Ag at (0.0000, 0.1605, 0.7500).

As for the formation enthalpy at 0 K: 56 meV per atom. The value obtained for the calculated volume is 480 Å³ per cell. The total magnetic moment comes out at 24.7 μB per cell. As for the calculated total energy: -4.89 eV per atom.

# 2
## LaDy6In (PBE)

Data for a relaxed structure of LaDy6In.

The space group is P4/mmm (No. 123) and the conventional cell measures 4.9108, 4.9108 and 10.1676 Å, with angles of 90.00, 90.00 and 90.00 degrees. The inequivalent atoms are La at (0.0000, 0.0000, 0.0000), Dy at (0.0000, 0.5000, 0.2607), Dy at (0.5000, 0.5000, 0.0000), Dy at (0.5000, 0.5000, 0.5000) and In at (0.0000, 0.0000, 0.5000).

As for the formation enthalpy at 0 K: -93 meV per atom. The value obtained for the calculated volume is 245 Å³ per cell. The total magnetic moment comes out at 0.0 μB per cell. As for the calculated total energy: -4.50 eV per atom.

# 3
## Na2Hf3Te6 (PBE)

Data for a relaxed structure of Na2Hf3Te6.

The space group is C2/m (No. 12) and the conventional cell measures 6.9793, 12.0921 and 8.2505 Å, with angles of 90.00, 106.48 and 90.00 degrees. The inequivalent atoms are Na at (0.0000, 0.1660, 0.0000), Hf at (0.0000, 0.0000, 0.5000), Hf at (0.0000, 0.3313, 0.5000), Te at (0.2372, 0.5000, 0.7197) and Te at (0.2428, 0.1651, 0.7222).

The value obtained for the calculated volume is 668 Å³ per cell. The formation energy from raw total energies comes out at -0.851 eV per atom. The total magnetic moment comes out at 0.0 μB per cell. As for the calculated total energy: -5.52 eV per atom.

# 4
## UFeTcRu (PBE)

Data for a relaxed structure of UFeTcRu.

The space group is F-43m (No. 216) and the conventional cell measures 6.3663, 6.3663 and 6.3663 Å, with angles of 90.00, 90.00 and 90.00 degrees. The inequivalent atoms are U at (0.0000, 0.0000, 0.0000), Fe at (0.0000, 0.0000, 0.5000), Tc at (0.2500, 0.2500, 0.2500) and Ru at (0.2500, 0.2500, 0.7500).

As for the formation enthalpy at 0 K: 70 meV per atom. The value obtained for the calculated volume is 258 Å³ per cell. The total magnetic moment comes out at 10.7 μB per cell. As for the calculated total energy: -9.78 eV per atom.

# 5
## Bi2OsPt (PBE)

Data for a relaxed structure of Bi2OsPt.

The space group is I-42d (No. 122) and the conventional cell measures 6.2269, 6.2269 and 12.1578 Å, with angles of 90.00, 90.00 and 90.00 degrees. The inequivalent atoms are Bi at (0.2416, 0.2500, 0.1250), Os at (0.0000, 0.0000, 0.0000) and Pt at (0.0000, 0.0000, 0.5000).

As for the formation enthalpy at 0 K: 746 meV per atom. The value obtained for the calculated volume is 471 Å³ per cell. The total magnetic moment comes out at 0.0 μB per cell. As for the calculated total energy: -5.51 eV per atom. The calculation puts the energy relative to the lowest polymorph listed for this composition at 129.7 meV/atom.

# 6
## BePt8 (PBE)

Data for a relaxed structure of BePt8.

The space group is I4/mmm (No. 139) and the conventional cell measures 8.2957, 8.2957 and 3.9421 Å, with angles of 90.00, 90.00 and 90.00 degrees. The inequivalent atoms are Be at (0.0000, 0.0000, 0.0000), Pt at (0.0000, 0.3254, 0.0000) and Pt at (0.1614, 0.1614, 0.5000).

As for the formation enthalpy at 0 K: -144 meV per atom. The value obtained for the calculated volume is 271 Å³ per cell. The total magnetic moment comes out at 0.0 μB per cell. As for the calculated total energy: -5.93 eV per atom.

# 7
## TcW2Au (PBE)

Data for a relaxed structure of TcW2Au.

The space group is I-42d (No. 122) and the conventional cell measures 7.2213, 7.2213 and 5.4504 Å, with angles of 90.00, 90.00 and 90.00 degrees. The inequivalent atoms are Tc at (0.0000, 0.0000, 0.0000), W at (0.2171, 0.2500, 0.1250) and Au at (0.0000, 0.0000, 0.5000).

As for the formation enthalpy at 0 K: 881 meV per atom. The value obtained for the calculated volume is 284 Å³ per cell. The total magnetic moment comes out at 0.0 μB per cell. As for the calculated total energy: -9.01 eV per atom. The calculation puts the energy relative to the lowest polymorph listed for this composition at 664.4 meV/atom.

# 8
## Tl2FePtBr (PBE)

Data for a relaxed structure of Tl2FePtBr.

The space group is P4/mmm (No. 123) and the conventional cell measures 5.3140, 5.3140 and 4.4987 Å, with angles of 90.00, 90.00 and 90.00 degrees. The inequivalent atoms are Tl at (0.0000, 0.5000, 0.0000), Fe at (0.0000, 0.0000, 0.0000), Pt at (0.0000, 0.0000, 0.5000) and Br at (0.5000, 0.5000, 0.5000).

The value obtained for the calculated volume is 127 Å³ per cell. The formation energy from raw total energies comes out at 0.351 eV per atom. The total magnetic moment comes out at 0.6 μB per cell. As for the calculated total energy: -3.83 eV per atom.